No. 1
# RbHfAu3S4

A geometry-optimized RbHfAu3S4 structure (GGA-PBE, the Open Quantum Materials Database).

Calculated values
- energy (eV per cell) = -43.154
- ΔE to the lowest computed polymorph (meV/atom) = 0
- magnetic moment (μB per cell) = 0.0

Lattice parameters (Å, degrees): 6.2807 6.2807 6.2807 90.00 90.00 90.00
With the nearest neighbours (Å) after each atom.
Atoms (fractional coordinates):
Rb: 0.0000 0.0000 0.0000  4 S 3.04
Hf: 0.5000 0.5000 0.5000  4 S 2.40
Au: 0.0000 0.5000 0.5000  4 S 2.63
Au: 0.5000 0.0000 0.5000  4 S 2.63
Au: 0.5000 0.5000 0.0000  4 S 2.63
S: 0.2798 0.2798 0.2798  1 Hf 2.40, 3 Au 2.63
S: 0.2798 0.7202 0.7202  1 Hf 2.40, 3 Au 2.63
S: 0.7202 0.2798 0.7202  1 Hf 2.40, 3 Au 2.63
S: 0.7202 0.7202 0.2798  1 Hf 2.40, 3 Au 2.63

=====

No. 2
# NaZrCo

A geometry-optimized NaZrCo structure (GGA-PBE, the Open Quantum Materials Database).

Calculated values
- energy (eV per cell) = -15.065
- ΔE to the lowest computed polymorph (meV/atom) = 0
- magnetic moment (μB per cell) = 0.0

Lattice parameters (Å, degrees): 4.3896 4.3896 4.3896 60.00 60.00 60.00
With the nearest neighbours (Å) after each atom.
Atoms (fractional coordinates):
Na: 0.0000 0.0000 0.0000  4 Co 2.69
Zr: 0.5000 0.5000 0.5000  4 Co 2.69
Co: 0.2500 0.2500 0.2500  4 Zr 2.69, 4 Na 2.69

=====

No. 3
# PbW4SN2

A geometry-optimized PbW4SN2 structure (GGA-PBE, the Open Quantum Materials Database).

Calculated values
- energy (eV per cell) = -72.420
- magnetic moment (μB per cell) = 0.0

Lattice parameters (Å, degrees): 2.9699 2.9699 14.3914 90.00 90.00 120.00
With the nearest neighbours (Å) after each atom.
Atoms (fractional coordinates):
Pb: 0.0000 0.0000 0.0000  6 Pb 2.97, 6 W 3.08
W: 0.0000 0.0000 0.3716  3 N 2.25
W: 0.0000 0.0000 0.6284  3 N 2.25
W: 0.3333 0.6667 0.1778  3 N 2.18
W: 0.3333 0.6667 0.8222  3 N 2.18
S: 0.3333 0.6667 0.5000  6 W 2.52
N: 0.6667 0.3333 0.2708  6 W 2.18-2.25
N: 0.6667 0.3333 0.7292  6 W 2.18-2.25

=====

No. 4
# Nd2Si2O7

A geometry-optimized Nd2Si2O7 structure (GGA-PBE, the Open Quantum Materials Database).

Calculated values
- energy (eV per cell) = -358.996
- magnetic moment (μB per cell) = 0.0

Lattice parameters (Å, degrees): 6.6493 6.6968 12.7359 90.00 108.20 90.00
With the nearest neighbours (Å) after each atom.
Atoms (fractional coordinates):
Nd: 0.0303 0.1056 0.3603  8 O 2.34-2.61
Nd: 0.0303 0.3944 0.8603  8 O 2.34-2.61
Nd: 0.3625 0.1883 0.1586  7 O 2.43-2.59
Nd: 0.3625 0.3117 0.6586  7 O 2.43-2.59
Nd: 0.6375 0.6883 0.3414  7 O 2.43-2.59
Nd: 0.6375 0.8117 0.8414  7 O 2.43-2.59
Nd: 0.9697 0.6056 0.1397  8 O 2.34-2.61
Nd: 0.9697 0.8944 0.6397  8 O 2.34-2.61
Si: 0.2053 0.5733 0.3932  4 O 1.61-1.67
Si: 0.2053 0.9267 0.8932  4 O 1.61-1.67
Si: 0.3957 0.6746 0.0856  4 O 1.62-1.66
Si: 0.3957 0.8254 0.5856  4 O 1.62-1.66
Si: 0.6043 0.1746 0.4144  4 O 1.62-1.66
Si: 0.6043 0.3254 0.9144  4 O 1.62-1.66
Si: 0.7947 0.0733 0.1068  4 O 1.61-1.67
Si: 0.7947 0.4267 0.6068  4 O 1.61-1.67
O: 0.0021 0.7199 0.3349  1 Si 1.65
O: 0.0021 0.7801 0.8349  1 Si 1.65
O: 0.1591 0.1083 0.9651  1 Si 1.61
O: 0.1591 0.3917 0.4651  1 Si 1.61
O: 0.2218 0.0082 0.5488  1 Si 1.65
O: 0.2218 0.4918 0.0488  1 Si 1.65
O: 0.2904 0.0006 0.7920  1 Si 1.64
O: 0.2904 0.4994 0.2920  1 Si 1.64
O: 0.3023 0.6725 0.6583  1 Si 1.63
O: 0.3023 0.8275 0.1583  1 Si 1.63
O: 0.3797 0.0788 0.3433  1 Si 1.62
O: 0.3797 0.4212 0.8433  1 Si 1.62
O: 0.4047 0.7133 0.4706  2 Si 1.66-1.67
O: 0.4047 0.7867 0.9706  2 Si 1.66-1.67
O: 0.5953 0.2133 0.0294  2 Si 1.66-1.67
O: 0.5953 0.2867 0.5294  2 Si 1.66-1.67
O: 0.6203 0.5788 0.1567  1 Si 1.62
O: 0.6203 0.9212 0.6567  1 Si 1.62
O: 0.6977 0.1725 0.8417  1 Si 1.63
O: 0.6977 0.3275 0.3417  1 Si 1.63
O: 0.7096 0.5006 0.7080  1 Si 1.64
O: 0.7096 0.9994 0.2080  1 Si 1.64
O: 0.7782 0.5082 0.9512  1 Si 1.65
O: 0.7782 0.9918 0.4512  1 Si 1.65
O: 0.8409 0.6083 0.5349  1 Si 1.61
O: 0.8409 0.8917 0.0349  1 Si 1.61
O: 0.9979 0.2199 0.1651  1 Si 1.65
O: 0.9979 0.2801 0.6651  1 Si 1.65

=====

No. 5
# LiTmPbSe3

A geometry-optimized LiTmPbSe3 structure (GGA-PBE, the Open Quantum Materials Database).

Calculated values
- energy (eV per cell) = -55.964
- ΔE to the lowest computed polymorph (meV/atom) = 34
- magnetic moment (μB per cell) = 0.0

Lattice parameters (Å, degrees): 7.0492 7.0492 10.6117 90.00 90.00 146.06
With the nearest neighbours (Å) after each atom.
Atoms (fractional coordinates):
Li: 0.0290 0.9710 0.7500  4 Se 2.49-2.52
Li: 0.9710 0.0290 0.2500  4 Se 2.49-2.52
Tm: 0.5000 0.5000 0.0000  6 Se 2.85-2.86
Tm: 0.5000 0.5000 0.5000  6 Se 2.85-2.86
Pb: 0.2511 0.7489 0.2500  6 Se 3.11-3.24
Pb: 0.7489 0.2511 0.7500  6 Se 3.11-3.24
Se: 0.1382 0.8618 0.5605  1 Li 2.49
Se: 0.1382 0.8618 0.9395  1 Li 2.49
Se: 0.4215 0.5785 0.7500  2 Li 2.52
Se: 0.5785 0.4215 0.2500  2 Li 2.52
Se: 0.8618 0.1382 0.0605  1 Li 2.49
Se: 0.8618 0.1382 0.4395  1 Li 2.49

=====

No. 6
# Tm2Al3Tl

A geometry-optimized Tm2Al3Tl structure (GGA-PBE, the Open Quantum Materials Database).

Calculated values
- energy (eV per cell) = -24.250
- magnetic moment (μB per cell) = 0.0

Lattice parameters (Å, degrees): 7.1845 7.1845 4.4160 90.00 90.00 144.58
With the nearest neighbours (Å) after each atom.
Atoms (fractional coordinates):
Tm: 0.1573 0.8427 0.0000  2 Tl 3.07, 8 Al 3.08-3.12, 2 Tm 3.35
Tm: 0.8427 0.1573 0.0000  2 Tl 3.07, 8 Al 3.08-3.12, 2 Tm 3.35
Al: 0.0000 0.0000 0.5000  4 Tm 3.08, 4 Tl 3.11, 4 Al 3.31
Al: 0.3187 0.6813 0.5000  2 Al 2.88, 6 Tm 3.12
Al: 0.6813 0.3187 0.5000  2 Al 2.88, 6 Tm 3.12
Tl: 0.5000 0.5000 0.0000  4 Tm 3.07, 8 Al 3.11-3.32